Material: TaAlSe2
Method: DFT, GGA-PBEsol
State: relaxed

The space group is Pmmm (47). For the raw formation energy, the calculation gives 0.090 eV per atom. The volume is 18.0 Å³/atom.

```
TaAlSe2
1.0
3.378 0.000 0.000
0.000 3.987 0.000
0.000 0.000 5.351
Ta Al Se
1 1 2
Cartesian
0.000 0.000 0.000
1.689 0.000 2.675
0.000 1.994 2.675
1.689 1.994 0.000
```



Material: Ta2AlSe
Method: DFT, GGA-PBEsol
State: relaxed

The space group is C2/m (12). For the raw formation energy, the calculation gives -0.032 eV per atom. As for the offset from the most stable computed form: 0.110 eV/atom. The volume is 17.0 Å³/atom.

```
Ta2AlSe
1.0
4.569 -1.579 0.000
4.569 1.579 0.000
-0.584 0.000 4.699
Ta Al Se
2 1 1
Cartesian
2.126 0.000 1.152
6.427 0.000 3.547
4.569 0.000 0.000
-0.292 0.000 2.350
```



Material: Ta2AlSe
Method: DFT, GGA-PBEsol
State: relaxed

The space group is F-43m (216). For the raw formation energy, the calculation gives 0.268 eV per atom. As for the offset from the most stable computed form: 0.409 eV/atom. The volume is 17.0 Å³/atom.

```
Ta2AlSe
1.0
0.000 3.241 3.241
3.241 0.000 3.241
3.241 3.241 0.000
Ta Al Se
2 1 1
Cartesian
0.000 0.000 0.000
1.621 1.621 1.621
4.862 4.862 4.862
3.241 3.241 3.241
```